No. 1
The following is a PBE-GGA calculation of a relaxed structure of Cu2Ir, from the Alexandria database.

Values from the calculation:
M_tot = 0.000 μB/atom
electronic total energy = -5.432 eV/atom
E_form = 0.252 eV per atom

a = 2.606 Å, b = 2.606 Å, c = 24.109 Å
α = 90.00°, β = 90.00°, γ = 90.00°
Space group I4_1/amd (No. 141, origin choice 2)
Asymmetric unit:
Cu1 0.000 0.250 0.294
Ir1 0.000 0.250 0.875

---

No. 2
The following is a PBE-GGA calculation of a relaxed structure of TeP2Au, from the Alexandria database.

Values from the calculation:
M_tot = 0.000 μB/atom
ΔE_f (raw) = 451 meV per atom
electronic total energy = -3.859 eV/atom

a = 4.219 Å, b = 5.278 Å, c = 8.967 Å
α = 90.00°, β = 90.00°, γ = 90.00°
Space group Immm (No. 71)
Asymmetric unit:
Te1 0.000 0.000 0.000
P1 0.000 0.500 0.137
Au1 0.000 0.000 0.500

---

No. 3
The following is a PBE-GGA calculation of a relaxed structure of CaEr2In2Hg2, from the Alexandria database.

Values from the calculation:
M_tot = 0.000 μB/atom
electronic total energy = -2.752 eV/atom
E_form = -0.294 eV per atom

a = 4.9710 Å, b = 4.9710 Å, c = 27.3758 Å
α = 90.00°, β = 90.00°, γ = 120.00°
Space group R-3m (No. 166, hexagonal axes)
Asymmetric unit:
Ca1 0.0000 0.0000 0.0000
Er1 0.0000 0.0000 0.1326
In1 0.0000 0.0000 0.2610
Hg1 0.0000 0.0000 0.4341

---

No. 4
The following is a PBE-GGA calculation of a relaxed structure of KBaNa2Hg, from the Alexandria database.

Values from the calculation:
M_tot = 0.000 μB/atom
electronic total energy = -1.178 eV/atom
E_form = 0.014 eV per atom

a = 6.105 Å, b = 6.105 Å, c = 6.412 Å
α = 90.00°, β = 90.00°, γ = 90.00°
Space group P4/mmm (No. 123)
Asymmetric unit:
K1 0.000 0.000 0.000
Ba1 0.500 0.500 0.000
Na1 0.000 0.500 0.500
Hg1 0.000 0.000 0.500

---

No. 5
The following is a PBE-GGA calculation of a relaxed structure of Th5TlSi2, from the Alexandria database.

Values from the calculation:
M_tot = 0.000 μB/atom
ΔE_f (raw) = -411 meV per atom
electronic total energy = -6.700 eV/atom

a = 7.823 Å, b = 7.823 Å, c = 14.670 Å
α = 90.00°, β = 90.00°, γ = 90.00°
Space group I4/mcm (No. 140)
Asymmetric unit:
Th1 0.000 0.000 0.000
Th2 0.170 0.330 0.137
Tl1 0.000 0.000 0.250
Si1 0.121 0.379 0.500

---

No. 6
The following is a PBE-GGA calculation of a relaxed structure of CuSiRu3, from the Alexandria database.

Values from the calculation:
M_tot = 0.416 μB/atom
ΔE_f (raw) = 892 meV per atom
electronic total energy = -6.577 eV/atom

a = 4.364 Å, b = 4.364 Å, c = 4.364 Å
α = 90.00°, β = 90.00°, γ = 90.00°
Space group Pm-3m (No. 221)
Asymmetric unit:
Cu1 0.000 0.000 0.000
Si1 0.500 0.500 0.500
Ru1 0.000 0.500 0.500

---

No. 7
The following is a PBE-GGA calculation of a relaxed structure of TeAs2PbBr, from the Alexandria database.

Values from the calculation:
M_tot = 0.000 μB/atom
ΔE_f (raw) = 522 meV per atom
electronic total energy = -3.042 eV/atom

a = 5.397 Å, b = 5.397 Å, c = 5.521 Å
α = 90.00°, β = 90.00°, γ = 90.00°
Space group P4/mmm (No. 123)
Asymmetric unit:
Te1 0.000 0.000 0.000
As1 0.000 0.500 0.000
Pb1 0.500 0.500 0.500
Br1 0.000 0.000 0.500

---

No. 8
The following is a PBE-GGA calculation of a relaxed structure of Pr3Nd4PuS8, from the Alexandria database.

Values from the calculation:
M_tot = 0.353 μB/atom
ΔE_f (raw) = -1996 meV per atom
electronic total energy = -7.044 eV/atom

a = 8.1443 Å, b = 8.1443 Å, c = 19.9368 Å
α = 90.00°, β = 90.00°, γ = 120.00°
Space group R-3m (No. 166, hexagonal axes)
Asymmetric unit:
Pr1 0.0000 0.5000 0.0000
Nd1 0.0000 0.0000 0.5000
Nd2 0.0000 0.5000 0.5000
Pu1 0.0000 0.0000 0.0000
S1 0.0000 0.0000 0.2489
S2 0.0061 0.5031 0.7495